(1)
Material: SrAlHg2
Method: DFT, PBE
State: optimized geometry

Geometry as POSCAR:
```
SrAlHg2
1.0
3.730 0.000 0.000
0.000 4.228 0.000
-1.653 0.000 6.795
Sr Al Hg
1 1 2
Direct
0.000 0.000 0.000 Sr
0.000 0.000 0.500 Al
0.387 0.500 0.715 Hg
0.613 0.500 0.285 Hg
```

Uncorrected energy, eV for the cell shown: -6.929
Crystal system: monoclinic
SG: P2/m (10)
D(E_F), states/eV per atom: 0.3466
DFT formation energy, eV/f.u.: -0.90



(2)
Material: GaHgTe
Method: DFT, PBE
State: optimized geometry

Geometry as POSCAR:
```
GaHgTe
1.0
4.119 0.000 0.000
-2.060 3.567 0.000
0.000 0.000 5.635
Ga Hg Te
1 1 1
Direct
0.000 0.000 0.000 Ga
0.667 0.333 0.318 Hg
0.333 0.667 0.738 Te
```

Uncorrected energy, eV for the cell shown: -6.848
Crystal system: trigonal
SG: P3m1 (156)
D(E_F), states/eV per atom: 0.5059
Relative energy among the computed polymorphs, meV/atom: 0
E_form (uncorrected), eV per atom: -0.126



(3)
Material: CaRhBr
Method: DFT, PBE
State: optimized geometry

Geometry as POSCAR:
```
CaRhBr
1.0
11.234 -1.845 0.000
11.234 1.845 0.000
-0.604 0.000 3.640
Ca Rh Br
2 2 2
Direct
0.108 0.108 0.108 Ca
0.892 0.892 0.892 Ca
0.498 0.502 0.000 Rh
0.998 0.002 0.500 Rh
0.327 0.327 0.327 Br
0.673 0.673 0.673 Br
```

Uncorrected energy, eV for the cell shown: -27.941
Crystal system: monoclinic
SG: C2 (5)
D(E_F), states/eV per atom: 0.6606
Relative energy among the computed polymorphs, meV/atom: 29
E_form (uncorrected), eV per atom: -0.981



(4)
Material: Al2Si4Mo3
Method: DFT, PBE
State: optimized geometry

Geometry as POSCAR:
```
Al2Si4Mo3
1.0
2.352 -4.093 0.000
2.352 4.093 0.000
-0.016 0.000 6.586
Al Si Mo
2 4 3
Direct
0.244 0.244 0.339 Al
0.756 0.756 0.661 Al
0.243 0.757 0.000 Si
0.415 0.080 0.668 Si
0.920 0.585 0.332 Si
0.925 0.075 0.000 Si
0.081 0.420 0.676 Mo
0.580 0.919 0.324 Mo
0.585 0.415 0.000 Mo
```

Uncorrected energy, eV for the cell shown: -65.810
Crystal system: monoclinic
SG: C2 (5)
D(E_F), states/eV per atom: 0.6558
E_form (uncorrected), eV per atom: -0.460



(5)
Material: Ba2ZnSe
Method: DFT, PBE
State: optimized geometry

Geometry as POSCAR:
```
Ba2ZnSe
1.0
-2.363 2.363 6.427
2.363 -2.363 6.427
2.363 2.363 -6.427
Ba Zn Se
2 1 1
Direct
0.000 0.000 0.000 Ba
0.750 0.250 0.500 Ba
0.500 0.500 0.000 Zn
0.250 0.750 0.500 Se
```

Uncorrected energy, eV for the cell shown: -11.665
Crystal system: tetragonal
SG: I-4m2 (119)
D(E_F), states/eV per atom: 0.5698
Relative energy among the computed polymorphs, meV/atom: 185
E_form (uncorrected), eV per atom: -0.765



(6)
Material: Tc3SnRh
Method: DFT, PBE
State: optimized geometry

Geometry as POSCAR:
```
Tc3SnRh
1.0
4.690 0.000 0.000
0.000 4.690 0.000
0.000 0.000 4.690
Tc Sn Rh
3 1 1
Direct
0.000 0.000 0.500 Tc
0.000 0.500 0.000 Tc
0.500 0.000 0.000 Tc
0.500 0.500 0.500 Sn
0.000 0.000 0.000 Rh
```

Uncorrected energy, eV for the cell shown: -34.528
Crystal system: cubic
SG: Pm-3m (221)
D(E_F), states/eV per atom: 1.3924
DFT formation energy, eV/f.u.: 7.92
Relative energy among the computed polymorphs, meV/atom: 0



(7)
Material: TbLuAlCu
Method: DFT, PBE
State: optimized geometry

Geometry as POSCAR:
```
TbLuAlCu
1.0
0.000 3.535 3.535
3.535 0.000 3.535
3.535 3.535 0.000
Tb Lu Al Cu
1 1 1 1
Direct
0.000 0.000 0.000 Tb
0.500 0.500 0.500 Lu
0.250 0.250 0.250 Al
0.750 0.750 0.750 Cu
```

Uncorrected energy, eV for the cell shown: -18.163
Crystal system: cubic
SG: F-43m (216)
D(E_F), states/eV per atom: 0.9065
DFT formation energy, eV/f.u.: -1.17



(8)
Material: YPbIN2
Method: DFT, PBE
State: optimized geometry

Geometry as POSCAR:
```
YPbIN2
1.0
4.616 0.000 0.000
0.000 4.616 0.000
0.000 0.000 5.762
Y Pb I N
1 1 1 2
Direct
0.000 0.000 0.000 Y
0.500 0.500 0.500 Pb
0.500 0.500 0.000 I
0.000 0.500 0.500 N
0.500 0.000 0.500 N
```

Uncorrected energy, eV for the cell shown: -22.610
Crystal system: tetragonal
SG: P4/mmm (123)
D(E_F), states/eV per atom: 0.7495
Relative energy among the computed polymorphs, meV/atom: 625
E_form (uncorrected), eV per atom: 1.153